Entry 1:
First-principles (PBE) data for a geometry-optimized Mg3Pd7Au2 structure, as listed in the Alexandria database.

Calculated values
Crystal system = orthorhombic
Energy = -4.34 eV per atom
Energy of formation = -0.367 eV per atom

a b c (Å): 4.499 21.613 4.378
angles (deg): 90.00 90.00 90.00
Space group Cmmm (No. 65)
Inequivalent atoms, fractional coordinates:
Mg  0.000  0.000  0.000 (multiplicity 2)
Mg  0.000  0.153  0.000 (multiplicity 4)
Pd  0.000  0.076  0.500 (multiplicity 4)
Pd  0.000  0.220  0.500 (multiplicity 4)
Pd  0.000  0.427  0.000 (multiplicity 4)
Pd  0.000  0.500  0.500 (multiplicity 2)
Au  0.000  0.349  0.500 (multiplicity 4)

=====

Entry 2:
First-principles (PBE) data for a geometry-optimized TmLuIn4 structure, as listed in the Alexandria database.

Calculated values
Crystal system = cubic
Energy = -3.55 eV per atom
Energy of formation = -0.230 eV per atom

a b c (Å): 8.422 8.422 8.422
angles (deg): 90.00 90.00 90.00
Space group F-43m (No. 216)
Inequivalent atoms, fractional coordinates:
Tm  0.000  0.000  0.000 (multiplicity 4)
Lu  0.250  0.250  0.750 (multiplicity 4)
In  0.125  0.125  0.375 (multiplicity 16)

=====

Entry 3:
First-principles (PBE) data for a geometry-optimized Pm3Zn2Hg7 structure, as listed in the Alexandria database.

Calculated values
Crystal system = monoclinic
Energy = -1.85 eV per atom
Energy of formation = -0.273 eV per atom

a b c (Å): 4.834 4.206 14.751
angles (deg): 90.00 99.04 90.00
Space group P2/m (No. 10)
Inequivalent atoms, fractional coordinates:
Pm  0.000  0.000  0.000 (multiplicity 1)
Pm  0.317  0.500  0.642 (multiplicity 2)
Zn  0.142  0.000  0.275 (multiplicity 2)
Hg  0.083  0.500  0.161 (multiplicity 2)
Hg  0.227  0.000  0.451 (multiplicity 2)
Hg  0.410  0.000  0.827 (multiplicity 2)
Hg  0.500  0.500  0.000 (multiplicity 1)

=====

Entry 4:
First-principles (PBE) data for a geometry-optimized Tl12SnHg6 structure, as listed in the Alexandria database.

Calculated values
Crystal system = trigonal
Polymorph energy (0 for the lowest one) = 26 meV/atom
Energy = -1.77 eV per atom
Energy of formation = 0.035 eV per atom

a b c (Å): 14.2847 14.2847 9.7869
angles (deg): 90.00 90.00 120.00
Space group R-3 (No. 148, hexagonal axes)
Inequivalent atoms, fractional coordinates:
Tl  0.0000  0.2633  0.9997 (multiplicity 18)
Tl  0.0900  0.5454  0.1063 (multiplicity 18)
Sn  0.0000  0.0000  0.0000 (multiplicity 3)
Hg  0.0814  0.9179  0.7580 (multiplicity 18)

=====

Entry 5:
First-principles (PBE) data for a geometry-optimized NdSmRh2 structure, as listed in the Alexandria database.

Calculated values
Crystal system = orthorhombic
Energy = -6.75 eV per atom
Energy of formation = -0.706 eV per atom

a b c (Å): 4.277 3.894 10.910
angles (deg): 90.00 90.00 90.00
Space group Amm2 (No. 38)
Inequivalent atoms, fractional coordinates:
Nd  0.000  0.000  0.000 (multiplicity 2)
Sm  0.500  0.000  0.283 (multiplicity 2)
Rh  0.000  0.000  0.728 (multiplicity 2)
Rh  0.500  0.000  0.558 (multiplicity 2)

=====

Entry 6:
First-principles (PBE) data for a geometry-optimized LaCe3Er2As6 structure, as listed in the Alexandria database.

Calculated values
Crystal system = monoclinic
Energy = -6.45 eV per atom
Energy of formation = -1.469 eV per atom

a b c (Å): 7.281 12.611 7.271
angles (deg): 90.00 109.55 90.00
Space group C2/m (No. 12)
Inequivalent atoms, fractional coordinates:
La  0.000  0.000  0.000 (multiplicity 2)
Ce  0.000  0.164  0.500 (multiplicity 4)
Ce  0.000  0.500  0.500 (multiplicity 2)
Er  0.000  0.333  0.000 (multiplicity 4)
As  0.240  0.500  0.247 (multiplicity 4)
As  0.245  0.329  0.750 (multiplicity 8)

=====

Entry 7:
First-principles (PBE) data for a geometry-optimized CuHgTe2I structure, as listed in the Alexandria database.

Calculated values
Crystal system = tetragonal
Polymorph energy (0 for the lowest one) = 0 meV/atom
Energy = -2.10 eV per atom
Energy relative to the elements, uncorrected = 0.35 eV per atom

a b c (Å): 5.273 5.273 5.409
angles (deg): 90.00 90.00 90.00
Space group P4/mmm (No. 123)
Inequivalent atoms, fractional coordinates:
Cu  0.000  0.000  0.000 (multiplicity 1)
Hg  0.500  0.500  0.500 (multiplicity 1)
Te  0.000  0.500  0.000 (multiplicity 2)
I  0.000  0.000  0.500 (multiplicity 1)

=====

Entry 8:
First-principles (PBE) data for a geometry-optimized Ba6Ca2Cd structure, as listed in the Alexandria database.

Calculated values
Crystal system = orthorhombic
Energy = -1.75 eV per atom
Energy of formation = 0.075 eV per atom

a b c (Å): 6.957 11.163 12.385
angles (deg): 90.00 90.00 90.00
Space group Immm (No. 71)
Inequivalent atoms, fractional coordinates:
Ba  0.000  0.172  0.000 (multiplicity 4)
Ba  0.000  0.197  0.340 (multiplicity 8)
Ca  0.000  0.500  0.164 (multiplicity 4)
Cd  0.000  0.500  0.500 (multiplicity 2)

=====

Entry 9:
First-principles (PBE) data for a geometry-optimized NaLi5Mg structure, as listed in the Alexandria database.

Calculated values
Crystal system = tetragonal
Energy = -1.65 eV per atom
Energy of formation = 0.131 eV per atom

a b c (Å): 4.490 4.490 8.380
angles (deg): 90.00 90.00 90.00
Space group P4/mmm (No. 123)
Inequivalent atoms, fractional coordinates:
Na  0.000  0.000  0.000 (multiplicity 1)
Li  0.000  0.500  0.274 (multiplicity 4)
Li  0.500  0.500  0.000 (multiplicity 1)
Mg  0.000  0.000  0.500 (multiplicity 1)

=====

Entry 10:
First-principles (PBE) data for a geometry-optimized NaMo2H structure, as listed in the Alexandria database.

Calculated values
Crystal system = tetragonal
Polymorph energy (0 for the lowest one) = 0 meV/atom
Energy = -5.71 eV per atom

a b c (Å): 5.721 5.721 8.010
angles (deg): 90.00 90.00 90.00
Space group I4_1/amd (No. 141, origin choice 2)
Inequivalent atoms, fractional coordinates:
Na  0.000  0.250  0.375 (multiplicity 4)
Mo  0.000  0.000  0.000 (multiplicity 8)
H  0.000  0.250  0.875 (multiplicity 4)

=====

Entry 11:
First-principles (PBE) data for a geometry-optimized AcHS structure, as listed in the Alexandria database.

Calculated values
Crystal system = hexagonal
Polymorph energy (0 for the lowest one) = 0 meV/atom
Energy = -5.45 eV per atom

a b c (Å): 4.2293 4.2293 7.8144
angles (deg): 90.00 90.00 120.00
Space group P6_3/mmc (No. 194)
Inequivalent atoms, fractional coordinates:
Ac  0.3333  0.6667  0.2500 (multiplicity 2)
H  0.3333  0.6667  0.7500 (multiplicity 2)
S  0.0000  0.0000  0.0000 (multiplicity 2)

=====

Entry 12:
First-principles (PBE) data for a geometry-optimized LaV2SiSb structure, as listed in the Alexandria database.

Calculated values
Crystal system = tetragonal
Energy = -6.17 eV per atom
Energy relative to the elements, uncorrected = 0.38 eV per atom

a b c (Å): 4.727 4.727 5.402
angles (deg): 90.00 90.00 90.00
Space group P4/mmm (No. 123)
Inequivalent atoms, fractional coordinates:
La  0.000  0.000  0.000 (multiplicity 1)
V  0.000  0.500  0.500 (multiplicity 2)
Si  0.500  0.500  0.500 (multiplicity 1)
Sb  0.500  0.500  0.000 (multiplicity 1)